## DyY12Er7 (PBE)

Data for crystalline DyY12Er7 at its relaxed geometry.

## Properties
- SG: R-3 (148)
- Energy relative to the elements: 5.78 eV/f.u.

abc: 8.6739 8.6739 8.6739
angles: 95.13 95.13 95.13
Fractional coordinates of all 20 atoms:
Y1 0.2491 0.6892 0.8163
Y2 0.1491 0.4174 0.4804
Y3 0.8509 0.5826 0.5196
Y4 0.5826 0.5196 0.8509
Y5 0.7509 0.3108 0.1837
Y6 0.1837 0.7509 0.3108
Y7 0.5196 0.8509 0.5826
Y8 0.8163 0.2491 0.6892
Y9 0.4804 0.1491 0.4174
Y10 0.4174 0.4804 0.1491
Y11 0.3108 0.1837 0.7509
Y12 0.6892 0.8163 0.2491
Er1 0.9153 0.6471 0.9768
Er2 0.6471 0.9768 0.9153
Er3 0.9768 0.9153 0.6471
Er4 0.0232 0.0847 0.3529
Er5 0.3529 0.0232 0.0847
Er6 0.0847 0.3529 0.0232
Er7 0.5000 0.5000 0.5000
Dy1 0.0000 0.0000 0.0000

## Cr2AgRh (PBE)

Data for crystalline Cr2AgRh at its relaxed geometry.

## Properties
- SG: Cmmm (65)
- Energy relative to the elements: 1.74 eV/f.u.

abc: 4.7166 4.7166 2.6549
angles: 90.00 90.00 111.79
Fractional coordinates of all 4 atoms:
Ag1 0.0000 0.5000 0.5000
Cr1 0.0000 0.0000 0.0000
Cr2 0.5000 0.5000 0.0000
Rh1 0.5000 0.0000 0.5000

## PrAl8Ni4 (PBE)

Data for crystalline PrAl8Ni4 at its relaxed geometry.

## Properties
- SG: I4/mmm (139)
- Energy relative to the elements: -7.40 eV/f.u.

abc: 5.1279 6.6523 6.6523
angles: 81.46 67.33 67.33
Fractional coordinates of all 13 atoms:
Al1 0.6544 0.3456 0.3456
Al2 0.3456 0.6544 0.6544
Al3 0.5000 0.2249 0.7751
Al4 0.0000 0.6544 0.3456
Al5 0.2751 0.2249 0.2249
Al6 0.0000 0.3456 0.6544
Al7 0.7249 0.7751 0.7751
Al8 0.5000 0.7751 0.2249
Ni1 0.5000 0.5000 0.0000
Ni2 0.5000 0.0000 0.5000
Ni3 0.0000 0.0000 0.5000
Ni4 0.0000 0.5000 0.0000
Pr1 0.0000 0.0000 0.0000

## MnTcPS2 (PBE)

Data for crystalline MnTcPS2 at its relaxed geometry.

## Properties
- Formation energy without anion corrections: 0.5411 eV/atom
- SG: P4/mmm (123)

abc: 4.7517 4.7517 4.4846
angles: 90.00 90.00 90.00
Each line ends with the local moment (μB).
Fractional coordinates of all 5 atoms:
P1 0.0000 0.0000 0.5000  -0.04
Mn1 0.5000 0.5000 0.5000  4.46
Tc1 0.0000 0.0000 0.0000  -0.34
S1 0.0000 0.5000 0.0000  -0.03
S2 0.5000 0.0000 0.0000  -0.03

## Ac4Si2AsCl (PBE)

Data for crystalline Ac4Si2AsCl at its relaxed geometry.

## Properties
- Formation energy without anion corrections: -1.0745 eV/atom
- SG: I4/mmm (139)

abc: 6.3836 6.3836 7.8238
angles: 114.08 114.08 90.00
Fractional coordinates of all 8 atoms:
Si1 0.1870 0.6870 0.5000
Si2 0.6870 0.1870 0.5000
Cl1 0.4372 0.4372 0.0000
Ac1 0.1807 0.1807 0.4873
Ac2 0.9372 0.4373 0.0000
Ac3 0.4373 0.9372 0.0000
Ac4 0.6934 0.6934 0.5127
As1 0.9373 0.9373 0.0000

## TiSiSb2 (PBE)

Data for crystalline TiSiSb2 at its relaxed geometry.

## Properties
- Formation energy without anion corrections: 0.2881 eV/atom
- SG: I-42d (122)

abc: 6.3023 6.3023 7.5298
angles: 65.26 65.26 90.00
Fractional coordinates of all 8 atoms:
Si1 0.2500 0.7500 0.5000
Si2 0.5000 0.5000 0.0000
Ti1 0.7500 0.2500 0.5000
Ti2 0.0000 0.0000 0.0000
Sb1 0.1311 0.6250 0.2500
Sb2 0.8750 0.8689 0.7500
Sb3 0.6189 0.1250 0.2500
Sb4 0.3750 0.3811 0.7500

## Y2TaHg (PBE)

Data for crystalline Y2TaHg at its relaxed geometry.

## Properties
- SG: I4/mmm (139)
- Energy relative to the elements: 0.81 eV/f.u.

abc: 5.5476 5.5476 5.5476
angles: 130.36 130.36 72.83
Fractional coordinates of all 4 atoms:
Ta1 0.7500 0.2500 0.5000
Y1 0.0000 0.0000 0.0000
Y2 0.5000 0.5000 0.0000
Hg1 0.2500 0.7500 0.5000

## Ga2FeNi2 (PBE)

Data for crystalline Ga2FeNi2 at its relaxed geometry.

## Properties
- SG: P4/mbm (127)
- Energy relative to the elements: -0.83 eV/f.u.

abc: 6.8706 6.8706 2.6911
angles: 90.00 90.00 90.00
Each line ends with the local moment (μB).
Fractional coordinates of all 10 atoms:
Ga1 0.1661 0.6661 0.5000  -0.02
Ga2 0.3339 0.1661 0.5000  -0.02
Ga3 0.8339 0.3339 0.5000  -0.02
Ga4 0.6661 0.8339 0.5000  -0.02
Ni1 0.3675 0.8675 0.0000  0.02
Ni2 0.6325 0.1325 0.0000  0.02
Ni3 0.1325 0.3675 0.0000  0.02
Ni4 0.8675 0.6325 0.0000  0.02
Fe1 0.5000 0.5000 0.0000  2.71
Fe2 0.0000 0.0000 0.0000  2.71

## Sb2TeCl (PBE)

Data for crystalline Sb2TeCl at its relaxed geometry.

## Properties
- Formation energy without anion corrections: 0.0041 eV/atom
- SG: R3m (160)

abc: 9.3320 9.3320 9.3320
angles: 23.98 23.98 23.98
Fractional coordinates of all 4 atoms:
Te1 0.5112 0.5112 0.5112
Sb1 0.9970 0.9970 0.9970
Sb2 0.2518 0.2518 0.2518
Cl1 0.7400 0.7400 0.7400

## AcPuGeIr (PBE)

Data for crystalline AcPuGeIr at its relaxed geometry.

## Properties
- SG: F-43m (216)
- Energy relative to the elements: -1.24 eV/f.u.

abc: 5.1784 5.1784 5.1784
angles: 60.00 60.00 60.00
Each line ends with the local moment (μB).
Fractional coordinates of all 4 atoms:
Pu1 0.0000 0.0000 0.0000  5.22
Ge1 0.2500 0.2500 0.2500  -0.12
Ir1 0.7500 0.7500 0.7500  -0.39
Ac1 0.5000 0.5000 0.5000  0.01

## PbSeI3 (PBE)

Data for crystalline PbSeI3 at its relaxed geometry.

## Properties
- Formation energy without anion corrections: 0.1348 eV/atom
- SG: Pm-3m (221)

abc: 5.7917 5.7917 5.7917
angles: 90.00 90.00 90.00
Each line ends with the local moment (μB).
Fractional coordinates of all 5 atoms:
I1 0.0000 0.5000 0.0000  0.00
I2 0.5000 0.0000 0.0000  -0.01
I3 0.0000 0.0000 0.5000  -0.01
Se1 0.0000 0.0000 0.0000  -0.01
Pb1 0.5000 0.5000 0.5000  0.22

## Hf2FePt (PBE)

Data for crystalline Hf2FePt at its relaxed geometry.

## Properties
- SG: I-42d (122)
- Energy relative to the elements: 0.66 eV/f.u.

abc: 4.2044 4.2044 9.3100
angles: 76.95 76.95 90.00
Each line ends with the local moment (μB).
Fractional coordinates of all 8 atoms:
Hf1 0.8750 0.8692 0.7500  -0.12
Hf2 0.1308 0.6250 0.2500  -0.13
Hf3 0.6192 0.1250 0.2500  -0.13
Hf4 0.3750 0.3808 0.7500  -0.12
Fe1 0.2500 0.7500 0.5000  1.91
Fe2 0.5000 0.5000 0.0000  1.90
Pt1 0.0000 0.0000 0.0000  0.00
Pt2 0.7500 0.2500 0.5000  0.00

## PmP2Rh (PBE)

Data for crystalline PmP2Rh at its relaxed geometry.

## Properties
- SG: P4/mmm (123)
- Energy relative to the elements: -1.94 eV/f.u.

abc: 3.5714 4.4593 4.4593
angles: 90.00 90.00 90.00
Fractional coordinates of all 4 atoms:
Rh1 0.5000 0.5000 0.5000
P1 0.0000 0.5000 0.0000
P2 0.0000 0.0000 0.5000
Pm1 0.5000 0.0000 0.0000

## CsNaSeF6 (PBE)

Data for crystalline CsNaSeF6 at its relaxed geometry.

## Properties
- Formation energy without anion corrections: -2.2693 eV/atom
- SG: C2 (5)

abc: 5.8807 5.8807 6.2956
angles: 90.05 89.95 59.89
Fractional coordinates of all 9 atoms:
F1 0.5950 0.3577 0.6794
F2 0.0462 0.5969 0.6784
F3 0.0482 0.3562 0.3210
F4 0.3577 0.5950 0.3206
F5 0.5969 0.0462 0.3216
F6 0.3562 0.0482 0.6790
Se1 0.3334 0.3334 0.5000
Cs1 0.9999 0.9999 0.0000
Na1 0.6663 0.6664 0.5000

## SrBiPt (PBE)

Data for crystalline SrBiPt at its relaxed geometry.

## Properties
- SG: Imma (74)
- Energy relative to the elements: -2.14 eV/f.u.

abc: 5.5609 6.4252 6.4251
angles: 65.12 64.33 64.33
Fractional coordinates of all 6 atoms:
Bi1 0.2107 0.9234 0.2992
Bi2 0.7107 0.6123 0.6104
Pt1 0.9608 0.2678 0.9547
Pt2 0.4608 0.2678 0.9548
Sr1 0.4608 0.2678 0.4547
Sr2 0.9608 0.7678 0.9548

## TbAl2Si2 (PBE)

Data for crystalline TbAl2Si2 at its relaxed geometry.

## Properties
- Formation energy without anion corrections: -0.3777 eV/atom
- SG: P-3m1 (164)

abc: 4.2026 4.2026 6.6127
angles: 90.00 90.00 120.00
Fractional coordinates of all 5 atoms:
Al1 0.3333 0.6667 0.6444
Al2 0.6667 0.3333 0.3556
Si1 0.3333 0.6667 0.2600
Si2 0.6667 0.3333 0.7400
Tb1 0.0000 0.0000 0.0000

## Ga2H2Rh (PBE)

Data for crystalline Ga2H2Rh at its relaxed geometry.

## Properties
- SG: P4/mbm (127)

abc: 5.1747 5.1747 4.1267
angles: 90.00 90.00 90.00
Fractional coordinates of all 10 atoms:
Rh1 0.5000 0.5000 0.0000
Rh2 0.0000 0.0000 0.0000
H1 0.2695 0.2305 0.0000
H2 0.2305 0.7305 0.0000
H3 0.7695 0.2695 0.0000
H4 0.7305 0.7695 0.0000
Ga1 0.1810 0.6810 0.5000
Ga2 0.6810 0.8190 0.5000
Ga3 0.8190 0.3190 0.5000
Ga4 0.3190 0.1810 0.5000

## RbZrBr4 (PBE)

Data for crystalline RbZrBr4 at its relaxed geometry.

## Properties
- Formation energy without anion corrections: -1.4799 eV/atom
- SG: C2/c (15)

abc: 6.3670 9.3878 8.5631
angles: 113.98 99.37 112.40
Fractional coordinates of all 12 atoms:
Zr1 0.2503 0.0003 0.0005
Zr2 0.7497 0.9997 0.9995
Br1 0.0811 0.1927 0.8742
Br2 0.2064 0.2513 0.3010
Br3 0.7069 0.3185 0.1258
Br4 0.7936 0.7487 0.6990
Br5 0.2931 0.6815 0.8742
Br6 0.4055 0.9504 0.6990
Br7 0.9189 0.8073 0.1258
Br8 0.5945 0.0496 0.3010
Rb1 0.6132 0.3632 0.7263
Rb2 0.3868 0.6368 0.2737

## TcRhW2Cl (PBE)

Data for crystalline TcRhW2Cl at its relaxed geometry.

## Properties
- Formation energy without anion corrections: 1.3234 eV/atom
- SG: P4/mmm (123)

abc: 4.3669 4.2821 4.3669
angles: 90.00 90.00 90.00
Fractional coordinates of all 5 atoms:
W1 0.0000 0.0000 0.5000
W2 0.5000 0.0000 0.0000
Cl1 0.0000 0.0000 0.0000
Rh1 0.5000 0.5000 0.5000
Tc1 0.0000 0.5000 0.0000

## Li2CoB6 (PBE)

Data for crystalline Li2CoB6 at its relaxed geometry.

## Properties
- SG: C2/m (12)
- Energy relative to the elements: 0.51 eV/f.u.

abc: 3.7785 4.6119 4.6647
angles: 119.63 101.73 90.00
Fractional coordinates of all 9 atoms:
Co1 0.0000 0.0000 0.0000
B1 0.3548 0.2473 0.4946
B2 0.5693 0.3052 0.2251
B3 0.6452 0.7527 0.5054
B4 0.4307 0.0801 0.7749
B5 0.5693 0.9199 0.2251
B6 0.4307 0.6948 0.7749
Li1 0.0780 0.6454 0.2908
Li2 0.9220 0.3546 0.7092

no.,uncorrected energy (eV per cell)
1,-108.33
2,-27.71
3,-65.24
4,-30.49
5,-42.37
6,-40.82
7,-24.27
8,-53.82
9,-13.22
10,-33.16
11,-11.17
12,-67.50
13,-24.86
14,-37.31
15,-27.49
16,-24.85
17,-40.23
18,-50.17
19,-38.85
20,-50.49